# Cu2AuSe PBE-GGA relaxed
# Density, Mg/m³: 9.83
# E_form (uncorrected), eV/atom: 0.111
# Space-group type: R-3m, No. 166
# Calculated total energy, eV/atom: -3.6277
data_Cu2AuSe
_cell_length_a 6.724
_cell_length_b 6.724
_cell_length_c 6.724
_cell_angle_alpha 30.18
_cell_angle_beta 30.18
_cell_angle_gamma 30.18
_symmetry_space_group_name_H-M 'P 1'
_symmetry_Int_Tables_number 1
_symmetry_space_group_name_Hall 'P 1'
loop_
_atom_site_label
_atom_site_fract_x
_atom_site_fract_y
_atom_site_fract_z
Cu1 0.246 0.246 0.246
Cu2 0.754 0.754 0.754
Au1 0.000 0.000 0.000
Se1 0.500 0.500 0.500

=====

# CuAuSe2 PBE-GGA relaxed
# Density, Mg/m³: 9.01
# E_form (uncorrected), eV/atom: 0.180
# Space-group type: Imm2, No. 44
# Calculated total energy, eV/atom: -3.4053
data_CuAuSe2
_cell_length_a 6.448
_cell_length_b 6.448
_cell_length_c 6.448
_cell_angle_alpha 149.16
_cell_angle_beta 145.75
_cell_angle_gamma 46.75
_symmetry_space_group_name_H-M 'P 1'
_symmetry_Int_Tables_number 1
_symmetry_space_group_name_Hall 'P 1'
loop_
_atom_site_label
_atom_site_fract_x
_atom_site_fract_y
_atom_site_fract_z
Cu1 0.000 0.000 0.000
Au1 0.776 0.276 0.500
Se1 0.154 0.654 0.500
Se2 0.434 0.434 0.000